[1]
! La14NdDy (PBE, relaxed); values from VASP
&SYSTEM
  ibrav = 0, nat = 16, ntyp = 3
/
ATOMIC_SPECIES
La 138.91 La.upf
Nd 144.24 Nd.upf
Dy 162.50 Dy.upf
CELL_PARAMETERS angstrom
6.845 2.110 0.000
0.231 7.159 0.000
0.000 0.000 11.949
ATOMIC_POSITIONS crystal
La 0.305 0.695 0.500
La 0.872 0.128 0.500
La 0.835 0.615 0.000
La 0.820 0.607 0.500
La 0.385 0.165 0.000
La 0.393 0.180 0.500
La 0.679 0.892 0.747
La 0.679 0.892 0.253
La 0.108 0.321 0.747
La 0.108 0.321 0.253
La 0.180 0.820 0.751
La 0.180 0.820 0.249
La 0.613 0.387 0.758
La 0.613 0.387 0.242
Nd 0.329 0.671 0.000
Dy 0.902 0.098 0.000
! * raw total energy: -77.10 eV for the cell shown
! * space-group type: Amm2 (38)


[2]
! Tm5ScIn (PBE, relaxed); values from VASP
&SYSTEM
  ibrav = 0, nat = 7, ntyp = 3
/
ATOMIC_SPECIES
Tm 168.93 Tm.upf
Sc 44.96 Sc.upf
In 114.82 In.upf
CELL_PARAMETERS angstrom
5.900 0.000 0.000
0.000 8.041 0.000
-2.950 -4.021 5.731
ATOMIC_POSITIONS crystal
Tm 0.386 0.247 0.494
Tm 0.064 0.500 0.000
Tm 0.892 0.753 0.506
Tm 0.369 0.821 0.000
Tm 0.369 0.179 0.000
Sc 0.870 0.000 0.000
In 0.581 0.500 0.000
! * raw total energy: -25.87 eV for the cell shown
! * space-group type: Imm2 (44)